# 1
The following is a DFT calculation (PBE) of an optimized crystal structure of SrSe3.

- Formation energy from raw total energies: -0.849 eV/atom

a = 4.337 Å, b = 3.825 Å, c = 6.855 Å
α = 90.00°, β = 108.02°, γ = 90.00°
Positions (direct):
Sr 0.000 0.000 0.000
Se 0.412 0.500 0.754
Se 0.500 0.000 0.500
Se 0.588 0.500 0.246

---

# 2
The following is a DFT calculation (PBE) of an optimized crystal structure of SrSe3.

- Formation energy from raw total energies: -0.787 eV/atom

a = 8.588 Å, b = 8.588 Å, c = 5.245 Å
α = 90.00°, β = 90.00°, γ = 120.00°
Positions (direct):
Sr 0.000 0.000 0.000
Sr 0.333 0.667 0.667
Sr 0.667 0.333 0.333
Se 0.000 0.500 0.000
Se 0.167 0.333 0.333
Se 0.167 0.833 0.333
Se 0.333 0.167 0.667
Se 0.500 0.000 0.000
Se 0.500 0.500 0.000
Se 0.667 0.833 0.333
Se 0.833 0.167 0.667
Se 0.833 0.667 0.667

---

# 3
The following is a DFT calculation (PBE) of an optimized crystal structure of Sr5Se.

- Offset from the most stable computed form: 659 meV per atom
- Formation energy from raw total energies: 0.099 eV/atom

a = 7.516 Å, b = 7.516 Å, c = 7.516 Å
α = 60.00°, β = 60.00°, γ = 60.00°
Positions (direct):
Sr 0.000 0.000 0.000
Sr 0.125 0.625 0.625
Sr 0.625 0.125 0.625
Sr 0.625 0.625 0.125
Sr 0.625 0.625 0.625
Se 0.250 0.250 0.250

---

# 4
The following is a DFT calculation (PBE) of an optimized crystal structure of SrSe.

- Formation energy from raw total energies: -1.869 eV/atom

a = 4.099 Å, b = 13.187 Å, c = 7.544 Å
α = 90.00°, β = 90.00°, γ = 90.00°
Positions (direct):
Sr 0.000 0.000 0.000
Sr 0.000 0.152 0.513
Sr 0.000 0.848 0.513
Sr 0.500 0.348 0.013
Sr 0.500 0.500 0.500
Sr 0.500 0.652 0.013
Se 0.000 0.349 0.315
Se 0.000 0.500 0.826
Se 0.000 0.651 0.315
Se 0.500 0.000 0.326
Se 0.500 0.151 0.815
Se 0.500 0.849 0.815

---

Number 1: D(E_F) 0.1 states/eV/cell. Number 2: D(E_F) 16.6 states/eV/cell. Number 3: D(E_F) 6.7 states/eV/cell. Number 4: D(E_F) 0.0 states/eV/cell.